Entry 1:
## Ce5PrTl6 (PBE-GGA)

Data for a geometry-optimized Ce5PrTl6 structure.

abc: 4.976 9.291 14.952
angles: 90.00 90.00 90.00
Space group Immm (No. 71)
Inequivalent atoms, fractional coordinates:
Ce 0.000 0.000 0.000 (multiplicity 2)
Ce 0.000 0.000 0.327 (multiplicity 4)
Ce 0.000 0.500 0.334 (multiplicity 4)
Pr 0.000 0.500 0.000 (multiplicity 2)
Tl 0.000 0.249 0.500 (multiplicity 4)
Tl 0.000 0.251 0.166 (multiplicity 8)

Calculated values
As for the crystal system: orthorhombic. The calculation puts the mass density at 9.9 Mg/m³. The total energy is -4.318 eV/atom. As for the total moment: 6.79 μB per formula unit. The energy of formation comes out at -264 meV per atom.

***

Entry 2:
## La2NpGa (PBE-GGA)

Data for a geometry-optimized La2NpGa structure.

abc: 3.4200 3.4200 34.6156
angles: 90.00 90.00 120.00
Space group R-3m (No. 166, hexagonal axes)
Inequivalent atoms, fractional coordinates:
La 0.0000 0.0000 0.0951 (multiplicity 6)
Np 0.0000 0.0000 0.0000 (multiplicity 3)
Ga 0.0000 0.0000 0.5000 (multiplicity 3)

Calculated values
As for the crystal system: trigonal. The calculation puts the mass density at 8.3 Mg/m³. The total energy is -6.135 eV/atom. As for the total moment: 4.71 μB per formula unit. The energy of formation comes out at 320 meV per atom.

***

Entry 3:
## VSb2RuI (PBE-GGA)

Data for a geometry-optimized VSb2RuI structure.

abc: 5.028 5.028 5.597
angles: 90.00 90.00 90.00
Space group P4/mmm (No. 123)
Inequivalent atoms, fractional coordinates:
V 0.000 0.000 0.000 (multiplicity 1)
Sb 0.000 0.500 0.500 (multiplicity 2)
Ru 0.500 0.500 0.500 (multiplicity 1)
I 0.500 0.500 0.000 (multiplicity 1)

Calculated values
The value obtained for the energy relative to the lowest polymorph listed for this composition is 0 meV per atom. As for the crystal system: tetragonal. The calculation puts the mass density at 6.1 Mg/m³. Its formation energy (no corrections) is 5.4 eV/f.u. The total energy is -4.564 eV/atom. As for the total moment: 0.11 μB per formula unit.

***

What is the total moment in the third record?
0.11 μB per formula unit

***

The lowest mass density belongs to which entry?
VSb2RuI